1.
# Ho5CuAg4 PBE-GGA relaxed
# Uncorrected energy: -41.5 eV per cell
# Total magnetic moment: 0.000 μB/atom
# Formation energy: -315 meV/atom
data_Ho5CuAg4
_chemical_formula_sum 'Ho5 Cu1 Ag4'
_cell_length_a 3.559
_cell_length_b 3.559
_cell_length_c 18.246
_cell_angle_alpha 90.00
_cell_angle_beta 90.00
_cell_angle_gamma 90.00
_space_group_name_H-M_alt 'P 4/m m m'
_space_group_IT_number 123
_space_group_name_Hall '-P 4 2'
loop_
_atom_site_label
_atom_site_fract_x
_atom_site_fract_y
_atom_site_fract_z
Ho1 0.000 0.000 0.000
Ho2 0.000 0.000 0.204
Ho3 0.000 0.000 0.408
Cu1 0.500 0.500 0.500
Ag1 0.500 0.500 0.102
Ag2 0.500 0.500 0.305



2.
# Sr2AgSn6 PBE-GGA relaxed
# Uncorrected energy: -66.4 eV per cell
# Total magnetic moment: 0.000 μB/atom
# Formation energy: -330 meV/atom
data_Sr2AgSn6
_chemical_formula_sum 'Sr4 Ag2 Sn12'
_cell_length_a 4.680
_cell_length_b 4.535
_cell_length_c 25.262
_cell_angle_alpha 90.00
_cell_angle_beta 90.00
_cell_angle_gamma 90.00
_space_group_name_H-M_alt 'A m m 2'
_space_group_IT_number 38
_space_group_name_Hall 'A 2 -2'
loop_
_atom_site_label
_atom_site_fract_x
_atom_site_fract_y
_atom_site_fract_z
Sr1 0.000 0.000 0.000
Sr2 0.000 0.000 0.340
Ag1 0.500 0.000 0.785
Sn1 0.000 0.000 0.605
Sn2 0.000 0.000 0.721
Sn3 0.500 0.000 0.103
Sn4 0.500 0.000 0.218
Sn5 0.500 0.000 0.463
Sn6 0.500 0.000 0.893



3.
# K2ScZn2O4 PBE-GGA relaxed
# Uncorrected energy: -93.6 eV per cell
# Total magnetic moment: 0.000 μB/atom
data_K2ScZn2O4
_chemical_formula_sum 'K4 Sc2 Zn4 O8'
_cell_length_a 13.982
_cell_length_b 3.222
_cell_length_c 6.657
_cell_angle_alpha 90.00
_cell_angle_beta 111.51
_cell_angle_gamma 90.00
_space_group_name_H-M_alt 'C 1 2/m 1'
_space_group_IT_number 12
_space_group_name_Hall '-C 2y'
loop_
_atom_site_label
_atom_site_fract_x
_atom_site_fract_y
_atom_site_fract_z
K1 0.121 0.000 0.042
Sc1 0.000 0.000 0.500
Zn1 0.180 0.500 0.536
O1 0.033 0.500 0.315
O2 0.165 0.000 0.699



4.
# Dy7Th3Sc PBE-GGA relaxed
# Uncorrected energy: -58.5 eV per cell
# Total magnetic moment: 0.000 μB/atom
# Formation energy: 209 meV/atom
data_Dy7Th3Sc
_chemical_formula_sum 'Dy7 Th3 Sc1'
_cell_length_a 7.0216
_cell_length_b 7.0216
_cell_length_c 8.4435
_cell_angle_alpha 90.00
_cell_angle_beta 90.00
_cell_angle_gamma 120.00
_space_group_name_H-M_alt 'P 3 m 1'
_space_group_IT_number 156
_space_group_name_Hall 'P 3 -2"'
loop_
_atom_site_label
_atom_site_fract_x
_atom_site_fract_y
_atom_site_fract_z
Dy1 0.0000 0.0000 0.0000
Dy2 0.0042 0.5021 0.9908
Dy3 0.3310 0.1655 0.6570
Th1 0.1682 0.3365 0.3277
Sc1 0.3333 0.6667 0.6510